Here is a PBEsol-optimized structure of Sc2BeNi from the Alexandria database. Energies are from SCAN.

```
data_Sc2BeNi
_chemical_formula_sum 'Sc2 Be1 Ni1'
_space_group_name_H-M_alt 'P 1 m 1'
_space_group_IT_number 6
_space_group_name_Hall 'P -2y'
_cell_length_a 3.331
_cell_length_b 3.988
_cell_length_c 5.048
_cell_angle_alpha 90.00
_cell_angle_beta 106.71
_cell_angle_gamma 90.00
loop_
_atom_site_label
_atom_site_fract_x
_atom_site_fract_y
_atom_site_fract_z
Sc1 0.000 0.000 0.000
Sc2 0.266 0.500 0.569
Be1 0.575 0.500 0.152
Ni1 0.689 0.000 0.407
```

Output
Spin magnetization: 0.002 μB/atom
DFT formation energy: -1.13 eV per formula unit